[1]
Density functional theory data (PBE-GGA) for ZrTc2BC after structural relaxation.

Structure (extended XYZ):
```
5
Lattice="4.433 0.000 0.000 0.000 4.433 0.000 0.000 0.000 3.175" Properties=species:S:1:pos:R:3 pbc="T T T"
Zr 0.000 0.000 0.000
Tc 0.000 2.216 1.587
Tc 2.216 0.000 1.587
B 2.216 2.216 0.000
C 2.216 2.216 1.587
```

Summary:
As for the formation energy: 289 meV per atom. Its uncorrected energy is -8.747 eV per atom. The value obtained for the size of the total moment is 0.000 μB per atom.

---

[2]
Density functional theory data (PBE-GGA) for B2TeC after structural relaxation.

Structure (extended XYZ):
```
8
Lattice="-2.298 2.298 4.383 2.298 -2.298 4.383 2.298 2.298 -4.383" Properties=species:S:1:pos:R:3 pbc="T T T"
B 3.448 0.622 -1.096
B 0.622 1.149 1.096
B -1.149 1.676 3.288
B 1.676 1.149 5.479
Te 2.298 0.000 2.192
Te 0.000 0.000 4.383
C 0.000 0.000 0.000
C 0.000 2.298 2.192
```

Summary:
Its uncorrected energy is -5.930 eV per atom. The value obtained for the size of the total moment is 0.000 μB per atom. Its uncorrected formation energy is 0.500 eV per atom.

---

[3]
Density functional theory data (PBE-GGA) for BTeC2 after structural relaxation.

Structure (extended XYZ):
```
4
Lattice="0.000 2.803 2.803 2.803 0.000 2.803 2.803 2.803 0.000" Properties=species:S:1:pos:R:3 pbc="T T T"
B 0.000 0.000 0.000
Te 2.803 2.803 2.803
C 1.402 1.402 1.402
C 4.205 4.205 4.205
```

Summary:
Its uncorrected energy is -4.091 eV per atom. The value obtained for the size of the total moment is 0.000 μB per atom. Its uncorrected formation energy is 2.976 eV per atom.

---

[4]
Density functional theory data (PBE-GGA) for BTeC2 after structural relaxation.

Structure (extended XYZ):
```
8
Lattice="-2.335 2.335 4.124 2.335 -2.335 4.124 2.335 2.335 -4.124" Properties=species:S:1:pos:R:3 pbc="T T T"
B 0.000 0.000 0.000
B 0.000 2.335 2.062
Te 2.335 0.000 2.062
Te 0.000 0.000 4.124
C 3.503 0.629 -1.031
C 0.629 1.168 1.031
C -1.168 1.707 3.093
C 1.707 1.168 5.155
```

Summary:
Its uncorrected energy is -5.946 eV per atom. The value obtained for the size of the total moment is 0.000 μB per atom. Its uncorrected formation energy is 1.120 eV per atom.

---

[5]
Density functional theory data (PBE-GGA) for B2TeC after structural relaxation.

Structure (extended XYZ):
```
4
Lattice="0.000 2.858 2.858 2.858 0.000 2.858 2.858 2.858 0.000" Properties=species:S:1:pos:R:3 pbc="T T T"
B 1.429 1.429 1.429
B 4.288 4.288 4.288
Te 0.000 0.000 0.000
C 2.858 2.858 2.858
```

Summary:
Its uncorrected energy is -3.756 eV per atom. The value obtained for the size of the total moment is 0.000 μB per atom. Its uncorrected formation energy is 2.674 eV per atom.

---

[6]
Density functional theory data (PBE-GGA) for Y2BTeC after structural relaxation.

Structure (extended XYZ):
```
5
Lattice="5.369 0.000 0.000 0.000 5.369 0.000 0.000 0.000 3.156" Properties=species:S:1:pos:R:3 pbc="T T T"
Y 0.000 2.684 0.000
Y 2.684 0.000 0.000
B 0.000 0.000 0.000
Te 2.684 2.684 1.578
C 0.000 0.000 1.578
```

Summary:
Its uncorrected energy is -6.563 eV per atom. The value obtained for the size of the total moment is 0.000 μB per atom. Its uncorrected formation energy is -0.169 eV per atom.

---

[7]
Density functional theory data (PBE-GGA) for ThB2C2 after structural relaxation.

Structure (extended XYZ):
```
5
Lattice="1.461 0.843 8.777 -1.461 0.843 8.777 0.000 -1.687 8.777" Properties=species:S:1:pos:R:3 pbc="T T T"
Th 0.000 0.000 0.000
B 0.000 0.000 6.468
B 0.000 0.000 19.863
C 0.000 0.000 10.988
C 0.000 0.000 15.343
```

Summary:
As for the formation energy: 254 meV per atom. Its uncorrected energy is -7.591 eV per atom. The value obtained for the size of the total moment is 0.000 μB per atom.

---

[8]
Density functional theory data (PBE-GGA) for ThB3C3 after structural relaxation.

Structure (extended XYZ):
```
14
Lattice="7.571 0.000 0.000 -3.786 6.557 0.000 0.000 0.000 2.876" Properties=species:S:1:pos:R:3 pbc="T T T"
Th 0.000 4.371 0.719
Th 3.786 2.186 2.157
B -0.870 1.938 2.157
B -1.672 6.341 2.157
B 1.244 1.722 0.719
B 2.542 4.834 2.157
B 5.458 0.216 0.719
B 4.655 4.619 0.719
C -2.208 4.848 2.157
C 0.691 2.221 2.157
C 2.269 0.512 0.719
C 1.517 6.044 2.157
C 3.095 4.336 0.719
C 5.993 1.708 0.719
```

Summary:
As for the formation energy: -16 meV per atom. Its uncorrected energy is -7.891 eV per atom. The value obtained for the size of the total moment is 0.023 μB per atom.